[1]
Computed, not measured: a geometry-optimized Ba8TlHPt2 structure at the PBE-GGA level of DFT.

Properties
The calculation puts the magnetization at 0.00 μB per formula unit.

The structure in POSCAR format:
```
Ba8TlHPt2
1.0
7.741 0.104 -0.006
0.193 7.526 -0.009
0.007 0.012 9.588
Ba H Tl Pt
8 1 1 2
Direct
0.821 0.233 0.779
0.342 0.288 0.500
0.658 0.712 0.500
0.821 0.233 0.221
0.179 0.767 0.779
0.325 0.279 0.000
0.179 0.767 0.221
0.675 0.721 0.000
0.000 0.000 0.000
0.000 0.000 0.500
0.500 0.500 0.758
0.500 0.500 0.242
```

---

[2]
Computed, not measured: a geometry-optimized Tl5Te4Au4 structure at the PBE-GGA level of DFT.

Properties
The calculation puts the magnetization at 0.00 μB per formula unit. The value obtained for the raw formation energy is -3.47 kcal/mol of atoms.

The structure in POSCAR format:
```
Tl5Te4Au4
1.0
-1.467 -4.517 0.106
1.157 -3.081 -8.855
7.755 -4.967 2.104
Te Au Tl
4 4 5
Direct
0.941 0.780 0.339
0.059 0.220 0.661
0.279 0.661 0.780
0.721 0.339 0.220
0.370 0.764 0.495
0.866 0.505 0.764
0.630 0.236 0.505
0.134 0.495 0.236
0.381 0.311 0.928
0.619 0.689 0.072
0.691 0.928 0.689
0.000 0.000 0.000
0.309 0.072 0.311
```

---

[3]
Computed, not measured: a geometry-optimized UTc2P2Rh structure at the PBE-GGA level of DFT.

Properties
The calculation puts the magnetization at 1.00 μB per formula unit. The value obtained for the calculated formation energy is -3.611 eV per formula unit.

The structure in POSCAR format:
```
UTc2P2Rh
1.0
3.968 0.000 0.000
0.000 6.794 0.000
0.000 0.000 6.961
Tc U P Rh
4 2 4 2
Direct
0.000 0.865 0.819
0.500 0.561 0.910
0.000 0.365 0.181
0.500 0.061 0.090
0.000 0.478 0.610
0.000 0.978 0.390
0.500 0.286 0.355
0.000 0.692 0.098
0.500 0.786 0.645
0.000 0.192 0.902
0.500 0.664 0.309
0.500 0.164 0.691
```

---

Quick rundown of electronic total energy, same order as above: -3.17, -3.04, -8.97 eV/atom